Material: SmSc12In3
Method: DFT, PBE
State: optimized geometry

Values from the calculation:
**Volume**: 383.48 Å³/cell
**Total energy**: -91.87 eV/cell
**DFT formation energy**: -2.954 eV/f.u.

The structure in CIF format:
```
data_SmSc12In3
_chemical_formula_sum 'Sm1 Sc12 In3'
_cell_length_a 4.551
_cell_length_b 4.551
_cell_length_c 18.519
_cell_angle_alpha 90.00
_cell_angle_beta 90.00
_cell_angle_gamma 90.00
_symmetry_space_group_name_H-M 'P 4/m m m'
_symmetry_Int_Tables_number 123
_symmetry_space_group_name_Hall '-P 4 2'
loop_
_atom_site_label
_atom_site_type_symbol
_atom_site_fract_x
_atom_site_fract_y
_atom_site_fract_z
Sm1 Sm 0.000 0.000 0.000
Sc1 Sc 0.000 0.500 0.134
Sc2 Sc 0.000 0.500 0.378
Sc3 Sc 0.500 0.500 0.000
Sc4 Sc 0.500 0.500 0.258
Sc5 Sc 0.500 0.500 0.500
In1 In 0.000 0.000 0.257
In2 In 0.000 0.000 0.500
```

=====

Material: KCrSbTe3
Method: DFT, PBE
State: optimized geometry

Values from the calculation:
**Formation energy from raw total energies**: -0.32 eV per atom
**Volume**: 408.68 Å³/cell
**Total energy**: -52.37 eV/cell

The structure in CIF format:
```
data_KCrSbTe3
_chemical_formula_sum 'K2 Cr2 Sb2 Te6'
_cell_length_a 9.248
_cell_length_b 4.122
_cell_length_c 10.877
_cell_angle_alpha 90.00
_cell_angle_beta 99.71
_cell_angle_gamma 90.00
_symmetry_space_group_name_H-M 'P 1 21/m 1'
_symmetry_Int_Tables_number 11
loop_
_symmetry_equiv_pos_as_xyz
'x,y,z'
'-x,-y,-z'
'-x,y+1/2,-z'
'x,-y+1/2,z'
loop_
_atom_site_label
_atom_site_type_symbol
_atom_site_fract_x
_atom_site_fract_y
_atom_site_fract_z
K1 K 0.153 0.250 0.211
Cr1 Cr 0.365 0.750 0.872
Sb1 Sb 0.095 0.250 0.582
Te1 Te 0.168 0.250 0.876
Te2 Te 0.324 0.750 0.613
Te3 Te 0.435 0.750 0.128
```

=====

Material: Ac3Mg9Pd2
Method: DFT, PBE
State: optimized geometry

Values from the calculation:
**Volume**: 729.90 Å³/cell
**Total energy**: -80.69 eV/cell
**DFT formation energy**: -3.284 eV/f.u.

The structure in CIF format:
```
data_Ac3Mg9Pd2
_chemical_formula_sum 'Ac6 Mg18 Pd4'
_cell_length_a 5.120
_cell_length_b 11.000
_cell_length_c 12.959
_cell_angle_alpha 90.00
_cell_angle_beta 90.00
_cell_angle_gamma 90.00
_symmetry_space_group_name_H-M 'I m m m'
_symmetry_Int_Tables_number 71
_symmetry_space_group_name_Hall '-I 2 2'
loop_
_atom_site_label
_atom_site_type_symbol
_atom_site_fract_x
_atom_site_fract_y
_atom_site_fract_z
Ac1 Ac 0.000 0.000 0.000
Ac2 Ac 0.000 0.000 0.300
Mg1 Mg 0.000 0.283 0.125
Mg2 Mg 0.000 0.355 0.361
Mg3 Mg 0.000 0.500 0.000
Pd1 Pd 0.000 0.166 0.500
```

=====

Material: Tb12Tm5Al2
Method: DFT, PBE
State: optimized geometry

Values from the calculation:
**Volume**: 1146.56 Å³/cell
**Total energy**: -169.96 eV/cell
**DFT formation energy**: 0.426 eV/f.u.

The structure in CIF format:
```
data_Tb12Tm5Al2
_chemical_formula_sum 'Tb24 Tm10 Al4'
_cell_length_a 15.042
_cell_length_b 9.212
_cell_length_c 8.285
_cell_angle_alpha 90.00
_cell_angle_beta 92.97
_cell_angle_gamma 90.00
_symmetry_space_group_name_H-M 'C 1 2/m 1'
_symmetry_Int_Tables_number 12
loop_
_symmetry_equiv_pos_as_xyz
'x,y,z'
'-x,-y,-z'
'-x,y,-z'
'x,-y,z'
'x+1/2,y+1/2,z'
'-x+1/2,-y+1/2,-z'
'-x+1/2,y+1/2,-z'
'x+1/2,-y+1/2,z'
loop_
_atom_site_label
_atom_site_type_symbol
_atom_site_fract_x
_atom_site_fract_y
_atom_site_fract_z
Tb1 Tb 0.054 0.000 0.322
Tb2 Tb 0.080 0.500 0.880
Tb3 Tb 0.126 0.196 0.671
Tb4 Tb 0.144 0.314 0.228
Tm1 Tm 0.000 0.500 0.500
Tm2 Tm 0.189 0.000 0.014
Tm3 Tm 0.232 0.500 0.575
Al1 Al 0.000 0.168 0.000
```

=====

Material: Li2SmAg
Method: DFT, PBE
State: optimized geometry

Values from the calculation:
**Volume**: 269.08 Å³/cell
**Total energy**: -33.45 eV/cell
**DFT formation energy**: 0.248 eV/f.u.
**Relative energy among the computed polymorphs**: 0.61 eV/f.u.

The structure in CIF format:
```
data_Li2SmAg
_chemical_formula_sum 'Li6 Sm3 Ag3'
_cell_length_a 3.2391
_cell_length_b 3.2391
_cell_length_c 29.6150
_cell_angle_alpha 90.00
_cell_angle_beta 90.00
_cell_angle_gamma 120.00
_symmetry_space_group_name_H-M 'R 3 m'
_symmetry_Int_Tables_number 160
_symmetry_space_group_name_Hall 'R 3 -2"'
loop_
_atom_site_label
_atom_site_type_symbol
_atom_site_fract_x
_atom_site_fract_y
_atom_site_fract_z
Li1 Li 0.0000 0.0000 0.0000
Li2 Li 0.0000 0.0000 0.1936
Sm1 Sm 0.0000 0.0000 0.7640
Ag1 Ag 0.0000 0.0000 0.5965
```

=====

Material: SmPuPa
Method: DFT, PBE
State: optimized geometry

Values from the calculation:
**Volume**: 164.50 Å³/cell
**Total energy**: -56.22 eV/cell
**DFT formation energy**: 0.438 eV/f.u.
**Relative energy among the computed polymorphs**: 0.00 eV/f.u.

The structure in CIF format:
```
data_SmPuPa
_chemical_formula_sum 'Sm2 Pu2 Pa2'
_cell_length_a 3.429
_cell_length_b 3.429
_cell_length_c 13.989
_cell_angle_alpha 90.00
_cell_angle_beta 90.00
_cell_angle_gamma 90.00
_symmetry_space_group_name_H-M 'I 4 m m'
_symmetry_Int_Tables_number 107
_symmetry_space_group_name_Hall 'I 4 -2'
loop_
_atom_site_label
_atom_site_type_symbol
_atom_site_fract_x
_atom_site_fract_y
_atom_site_fract_z
Sm1 Sm 0.000 0.000 0.000
Pu1 Pu 0.000 0.000 0.308
Pa1 Pa 0.000 0.000 0.671
```

=====

Material: Ti2As4W3
Method: DFT, PBE
State: optimized geometry

Values from the calculation:
**Volume**: 310.96 Å³/cell
**Total energy**: -153.29 eV/cell
**DFT formation energy**: -3.395 eV/f.u.
**Relative energy among the computed polymorphs**: 0.50 eV/f.u.

The structure in CIF format:
```
data_Ti2As4W3
_chemical_formula_sum 'Ti4 As8 W6'
_cell_length_a 13.592
_cell_length_b 3.348
_cell_length_c 9.559
_cell_angle_alpha 90.00
_cell_angle_beta 134.38
_cell_angle_gamma 90.00
_symmetry_space_group_name_H-M 'C 1 m 1'
_symmetry_Int_Tables_number 8
loop_
_symmetry_equiv_pos_as_xyz
'x,y,z'
'x,-y,z'
'x+1/2,y+1/2,z'
'x+1/2,-y+1/2,z'
loop_
_atom_site_label
_atom_site_type_symbol
_atom_site_fract_x
_atom_site_fract_y
_atom_site_fract_z
Ti1 Ti 0.000 0.000 0.000
Ti2 Ti 0.134 0.500 0.332
As1 As 0.079 0.500 0.566
As2 As 0.186 0.500 0.099
As3 As 0.353 0.000 0.997
As4 As 0.419 0.500 0.671
W1 W 0.259 0.000 0.649
W2 W 0.327 0.000 0.392
W3 W 0.436 0.500 0.265
```

=====

Material: Ba12N5Cl3
Method: DFT, PBE
State: optimized geometry

Values from the calculation:
**Formation energy from raw total energies**: -0.67 eV per atom
**Volume**: 5609.11 Å³/cell
**Total energy**: -668.88 eV/cell

The structure in CIF format:
```
data_Ba12N5Cl3
_chemical_formula_sum 'Ba96 N40 Cl24'
_cell_length_a 17.768
_cell_length_b 17.768
_cell_length_c 17.768
_cell_angle_alpha 90.00
_cell_angle_beta 90.00
_cell_angle_gamma 90.00
_symmetry_space_group_name_H-M 'I a -3 d'
_symmetry_Int_Tables_number 230
_symmetry_space_group_name_Hall '-I 4bd 2c 3'
loop_
_atom_site_label
_atom_site_type_symbol
_atom_site_fract_x
_atom_site_fract_y
_atom_site_fract_z
Ba1 Ba 0.032 0.049 0.650
N1 N 0.000 0.000 0.000
N2 N 0.000 0.250 0.375
Cl1 Cl 0.000 0.250 0.125
```

=====

Material: Ba2TaN3
Method: DFT, PBE
State: optimized geometry

Values from the calculation:
**Formation energy from raw total energies**: -0.99 eV per atom
**Volume**: 443.78 Å³/cell
**Total energy**: -186.44 eV/cell

The structure in CIF format:
```
data_Ba2TaN3
_chemical_formula_sum 'Ba8 Ta4 N12'
_cell_length_a 10.495
_cell_length_b 7.253
_cell_length_c 5.829
_cell_angle_alpha 90.00
_cell_angle_beta 90.08
_cell_angle_gamma 90.00
_symmetry_space_group_name_H-M 'C 1 2/c 1'
_symmetry_Int_Tables_number 15
loop_
_symmetry_equiv_pos_as_xyz
'x,y,z'
'-x,-y,-z'
'-x,y,-z+1/2'
'x,-y,z+1/2'
'x+1/2,y+1/2,z'
'-x+1/2,-y+1/2,-z'
'-x+1/2,y+1/2,-z+1/2'
'x+1/2,-y+1/2,z+1/2'
loop_
_atom_site_label
_atom_site_type_symbol
_atom_site_fract_x
_atom_site_fract_y
_atom_site_fract_z
Ba1 Ba 0.164 0.155 0.250
Ta1 Ta 0.000 0.414 0.750
N1 N 0.000 0.150 0.750
N2 N 0.132 0.500 0.000
```

=====

Material: CaAgBi2
Method: DFT, PBE
State: optimized geometry

Values from the calculation:
**Volume**: 498.16 Å³/cell
**Total energy**: -53.73 eV/cell
**DFT formation energy**: -0.818 eV/f.u.

The structure in CIF format:
```
data_CaAgBi2
_chemical_formula_sum 'Ca4 Ag4 Bi8'
_cell_length_a 4.862
_cell_length_b 4.862
_cell_length_c 21.075
_cell_angle_alpha 90.00
_cell_angle_beta 90.00
_cell_angle_gamma 90.00
_symmetry_space_group_name_H-M 'I -4 2 d'
_symmetry_Int_Tables_number 122
_symmetry_space_group_name_Hall 'I -4 2bw'
loop_
_atom_site_label
_atom_site_type_symbol
_atom_site_fract_x
_atom_site_fract_y
_atom_site_fract_z
Ca1 Ca 0.000 0.000 0.000
Ag1 Ag 0.000 0.000 0.500
Bi1 Bi 0.227 0.250 0.625
```

=====

Material: Zn3Os5
Method: DFT, PBE
State: optimized geometry

Values from the calculation:
**Volume**: 229.26 Å³/cell
**Total energy**: -112.29 eV/cell
**DFT formation energy**: 3.824 eV/f.u.
**Relative energy among the computed polymorphs**: 0.00 eV/f.u.

The structure in CIF format:
```
data_Zn3Os5
_chemical_formula_sum 'Zn6 Os10'
_cell_length_a 7.681
_cell_length_b 7.794
_cell_length_c 3.830
_cell_angle_alpha 90.00
_cell_angle_beta 90.00
_cell_angle_gamma 90.00
_symmetry_space_group_name_H-M 'C m m m'
_symmetry_Int_Tables_number 65
_symmetry_space_group_name_Hall '-C 2 2'
loop_
_atom_site_label
_atom_site_type_symbol
_atom_site_fract_x
_atom_site_fract_y
_atom_site_fract_z
Zn1 Zn 0.000 0.000 0.000
Zn2 Zn 0.244 0.000 0.500
Os1 Os 0.000 0.258 0.500
Os2 Os 0.000 0.500 0.000
Os3 Os 0.250 0.250 0.000
```

=====

Material: SrHo4Zn5
Method: DFT, PBE
State: optimized geometry

Values from the calculation:
**Volume**: 236.25 Å³/cell
**Total energy**: -29.42 eV/cell
**DFT formation energy**: -3.059 eV/f.u.

The structure in CIF format:
```
data_SrHo4Zn5
_chemical_formula_sum 'Sr1 Ho4 Zn5'
_cell_length_a 3.610
_cell_length_b 3.610
_cell_length_c 18.124
_cell_angle_alpha 90.00
_cell_angle_beta 90.00
_cell_angle_gamma 90.00
_symmetry_space_group_name_H-M 'P 4/m m m'
_symmetry_Int_Tables_number 123
_symmetry_space_group_name_Hall '-P 4 2'
loop_
_atom_site_label
_atom_site_type_symbol
_atom_site_fract_x
_atom_site_fract_y
_atom_site_fract_z
Sr1 Sr 0.000 0.000 0.000
Ho1 Ho 0.000 0.000 0.211
Ho2 Ho 0.000 0.000 0.404
Zn1 Zn 0.500 0.500 0.122
Zn2 Zn 0.500 0.500 0.307
Zn3 Zn 0.500 0.500 0.500
```

=====

Material: VBTeI2
Method: DFT, PBE
State: optimized geometry

Values from the calculation:
**Formation energy from raw total energies**: 0.99 eV per atom
**Volume**: 162.34 Å³/cell
**Total energy**: -17.09 eV/cell
**Relative energy among the computed polymorphs**: 0.00 eV/f.u.

The structure in CIF format:
```
data_VBTeI2
_chemical_formula_sum 'V1 B1 Te1 I2'
_cell_length_a 5.598
_cell_length_b 5.598
_cell_length_c 5.180
_cell_angle_alpha 90.00
_cell_angle_beta 90.00
_cell_angle_gamma 90.00
_symmetry_space_group_name_H-M 'P 4/m m m'
_symmetry_Int_Tables_number 123
_symmetry_space_group_name_Hall '-P 4 2'
loop_
_atom_site_label
_atom_site_type_symbol
_atom_site_fract_x
_atom_site_fract_y
_atom_site_fract_z
V1 V 0.000 0.000 0.000
B1 B 0.500 0.500 0.500
Te1 Te 0.000 0.000 0.500
I1 I 0.000 0.500 0.000
```

=====

Material: ZrSc2Co2
Method: DFT, PBE
State: optimized geometry

Values from the calculation:
**Volume**: 357.56 Å³/cell
**Total energy**: -146.90 eV/cell
**DFT formation energy**: -1.302 eV/f.u.
**Relative energy among the computed polymorphs**: 0.00 eV/f.u.

The structure in CIF format:
```
data_ZrSc2Co2
_chemical_formula_sum 'Zr4 Sc8 Co8'
_cell_length_a 9.486
_cell_length_b 5.259
_cell_length_c 7.403
_cell_angle_alpha 90.00
_cell_angle_beta 104.52
_cell_angle_gamma 90.00
_symmetry_space_group_name_H-M 'C 1 2/c 1'
_symmetry_Int_Tables_number 15
loop_
_symmetry_equiv_pos_as_xyz
'x,y,z'
'-x,-y,-z'
'-x,y,-z+1/2'
'x,-y,z+1/2'
'x+1/2,y+1/2,z'
'-x+1/2,-y+1/2,-z'
'-x+1/2,y+1/2,-z+1/2'
'x+1/2,-y+1/2,z+1/2'
loop_
_atom_site_label
_atom_site_type_symbol
_atom_site_fract_x
_atom_site_fract_y
_atom_site_fract_z
Zr1 Zr 0.000 0.143 0.250
Sc1 Sc 0.150 0.351 0.650
Co1 Co 0.144 0.153 0.999
```

=====

Material: SbH5Pd4
Method: DFT, PBE
State: optimized geometry

Values from the calculation:
**Volume**: 217.11 Å³/cell
**Total energy**: -84.08 eV/cell

The structure in CIF format:
```
data_SbH5Pd4
_chemical_formula_sum 'Sb2 H10 Pd8'
_cell_length_a 5.602
_cell_length_b 8.426
_cell_length_c 4.600
_cell_angle_alpha 90.00
_cell_angle_beta 90.00
_cell_angle_gamma 90.00
_symmetry_space_group_name_H-M 'P m m n'
_symmetry_Int_Tables_number 59
loop_
_symmetry_equiv_pos_as_xyz
'x,y,z'
'-x,-y,-z'
'-x+1/2,-y+1/2,z'
'x+1/2,y+1/2,-z'
'x+1/2,-y,-z'
'-x+1/2,y,z'
'-x,y+1/2,-z'
'x,-y+1/2,z'
loop_
_atom_site_label
_atom_site_type_symbol
_atom_site_fract_x
_atom_site_fract_y
_atom_site_fract_z
Sb1 Sb 0.250 0.250 0.171
H1 H 0.021 0.544 0.243
H2 H 0.250 0.750 0.590
Pd1 Pd 0.002 0.750 0.335
Pd2 Pd 0.250 0.542 0.912
```

=====

Material: Li2TeIr
Method: DFT, PBE
State: optimized geometry

Values from the calculation:
**Formation energy from raw total energies**: -0.36 eV per atom
**Volume**: 124.64 Å³/cell
**Total energy**: -34.55 eV/cell

The structure in CIF format:
```
data_Li2TeIr
_chemical_formula_sum 'Li4 Te2 Ir2'
_cell_length_a 6.267
_cell_length_b 6.293
_cell_length_c 4.447
_cell_angle_alpha 90.00
_cell_angle_beta 134.72
_cell_angle_gamma 90.00
_symmetry_space_group_name_H-M 'C 1 2 1'
_symmetry_Int_Tables_number 5
loop_
_symmetry_equiv_pos_as_xyz
'x,y,z'
'-x,y,-z'
'x+1/2,y+1/2,z'
'-x+1/2,y+1/2,-z'
loop_
_atom_site_label
_atom_site_type_symbol
_atom_site_fract_x
_atom_site_fract_y
_atom_site_fract_z
Li1 Li 0.000 0.000 0.000
Li2 Li 0.000 0.250 0.500
Te1 Te 0.000 0.750 0.500
Ir1 Ir 0.000 0.501 0.000
```

=====

Material: HfIn2PbCl8
Method: DFT, PBE
State: optimized geometry

Values from the calculation:
**Formation energy from raw total energies**: -1.33 eV per atom
**Volume**: 413.31 Å³/cell
**Total energy**: -49.85 eV/cell

The structure in CIF format:
```
data_HfIn2PbCl8
_chemical_formula_sum 'Hf1 In2 Pb1 Cl8'
_cell_length_a 6.899
_cell_length_b 7.156
_cell_length_c 8.381
_cell_angle_alpha 89.88
_cell_angle_beta 89.87
_cell_angle_gamma 87.28
_symmetry_space_group_name_H-M 'P -1'
_symmetry_Int_Tables_number 2
loop_
_symmetry_equiv_pos_as_xyz
'x,y,z'
'-x,-y,-z'
loop_
_atom_site_label
_atom_site_type_symbol
_atom_site_fract_x
_atom_site_fract_y
_atom_site_fract_z
Hf1 Hf 0.000 0.000 0.000
In1 In 0.499 0.499 0.757
Pb1 Pb 0.000 0.000 0.500
Cl1 Cl 0.176 0.700 0.001
Cl2 Cl 0.218 0.115 0.212
Cl3 Cl 0.218 0.115 0.787
Cl4 Cl 0.262 0.675 0.500
```

=====

Material: Sr2PuSn
Method: DFT, PBE
State: optimized geometry

Values from the calculation:
**Volume**: 461.59 Å³/cell
**Total energy**: -62.94 eV/cell
**DFT formation energy**: 0.719 eV/f.u.

The structure in CIF format:
```
data_Sr2PuSn
_chemical_formula_sum 'Sr6 Pu3 Sn3'
_cell_length_a 3.7898
_cell_length_b 3.7898
_cell_length_c 37.1098
_cell_angle_alpha 90.00
_cell_angle_beta 90.00
_cell_angle_gamma 120.00
_symmetry_space_group_name_H-M 'R -3 m'
_symmetry_Int_Tables_number 166
_symmetry_space_group_name_Hall '-R 3 2"'
loop_
_atom_site_label
_atom_site_type_symbol
_atom_site_fract_x
_atom_site_fract_y
_atom_site_fract_z
Sr1 Sr 0.0000 0.0000 0.0970
Pu1 Pu 0.0000 0.0000 0.0000
Sn1 Sn 0.0000 0.0000 0.5000
```